A.
# LiGeSCl2 | Alexandria | PBE | optimized geometry
data_LiGeSCl2
_space_group_name_H-M_alt 'P 4/m m m'
_space_group_IT_number 123
_space_group_name_Hall '-P 4 2'
_cell_length_a 4.522
_cell_length_b 4.522
_cell_length_c 4.951
_cell_angle_alpha 90.00
_cell_angle_beta 90.00
_cell_angle_gamma 90.00
loop_
_atom_site_label
_atom_site_type_symbol
_atom_site_fract_x
_atom_site_fract_y
_atom_site_fract_z
_atom_site_occupancy
Li1 Li 0.000 0.000 0.000 1
Ge1 Ge 0.500 0.500 0.500 1
S1 S 0.000 0.000 0.500 1
Cl1 Cl 0.000 0.500 0.000 1
# Crystal system: tetragonal

=====

B.
# LiGeSCl2 | Alexandria | PBE | optimized geometry
data_LiGeSCl2
_space_group_name_H-M_alt 'P 4/m m m'
_space_group_IT_number 123
_space_group_name_Hall '-P 4 2'
_cell_length_a 5.148
_cell_length_b 5.148
_cell_length_c 4.641
_cell_angle_alpha 90.00
_cell_angle_beta 90.00
_cell_angle_gamma 90.00
loop_
_atom_site_label
_atom_site_type_symbol
_atom_site_fract_x
_atom_site_fract_y
_atom_site_fract_z
_atom_site_occupancy
Li1 Li 0.000 0.000 0.000 1
Ge1 Ge 0.500 0.500 0.500 1
S1 S 0.500 0.500 0.000 1
Cl1 Cl 0.000 0.500 0.500 1
# Crystal system: tetragonal

=====

Verdict on stability: B comes out on top.

=====

A.
# Mg3GeCl | Alexandria | PBE | optimized geometry
data_Mg3GeCl
_space_group_name_H-M_alt 'P m -3 m'
_space_group_IT_number 221
_space_group_name_Hall '-P 4 2 3'
_cell_length_a 5.158
_cell_length_b 5.158
_cell_length_c 5.158
_cell_angle_alpha 90.00
_cell_angle_beta 90.00
_cell_angle_gamma 90.00
loop_
_atom_site_label
_atom_site_type_symbol
_atom_site_fract_x
_atom_site_fract_y
_atom_site_fract_z
_atom_site_occupancy
Mg1 Mg 0.000 0.000 0.500 1
Ge1 Ge 0.000 0.000 0.000 1
Cl1 Cl 0.500 0.500 0.500 1
# Crystal system: cubic

=====

B.
# Mg3GeCl | Alexandria | PBE | optimized geometry
data_Mg3GeCl
_space_group_name_H-M_alt 'P m -3 m'
_space_group_IT_number 221
_space_group_name_Hall '-P 4 2 3'
_cell_length_a 4.929
_cell_length_b 4.929
_cell_length_c 4.929
_cell_angle_alpha 90.00
_cell_angle_beta 90.00
_cell_angle_gamma 90.00
loop_
_atom_site_label
_atom_site_type_symbol
_atom_site_fract_x
_atom_site_fract_y
_atom_site_fract_z
_atom_site_occupancy
Mg1 Mg 0.000 0.000 0.500 1
Ge1 Ge 0.500 0.500 0.500 1
Cl1 Cl 0.000 0.000 0.000 1
# Crystal system: cubic

=====

Verdict on stability: A comes out on top.